This record from Alexandria via LeMat-Bulk describes a geometry-optimized La3Pm4SmSe8 structure. The functional is PBE.

abc: 8.4715 8.4715 8.4715
angles: 60.10 60.10 60.10
Fractional positions:
La1 0.0000 0.5000 0.5000
La2 0.5000 0.0000 0.5000
La3 0.5000 0.5000 0.0000
Pm1 0.0000 0.0000 0.5000
Pm2 0.0000 0.5000 0.0000
Pm3 0.5000 0.0000 0.0000
Pm4 0.5000 0.5000 0.5000
Sm1 0.0000 0.0000 0.0000
Se1 0.2442 0.7508 0.7508
Se2 0.2474 0.2474 0.2474
Se3 0.2492 0.2492 0.7558
Se4 0.2492 0.7558 0.2492
Se5 0.7508 0.2442 0.7508
Se6 0.7508 0.7508 0.2442
Se7 0.7526 0.7526 0.7526
Se8 0.7558 0.2492 0.2492

Results
Its density of states at the Fermi level is 10.71 states/eV per cell. The space group is No. 166. The formation energy from raw total energies is -1.89 eV per atom.



This record from Alexandria via LeMat-Bulk describes a geometry-optimized MgMnZn2 structure. The functional is PBE.

abc: 2.9604 2.9604 7.2033
angles: 90.00 90.00 90.00
Fractional positions:
Mg1 0.0000 0.0000 0.0000
Mn1 0.5000 0.5000 0.2698
Zn1 0.0000 0.0000 0.4906
Zn2 0.5000 0.5000 0.7227

Results
Its density of states at the Fermi level is 2.47 states/eV per cell. The space group is No. 99. The total energy is -3.26 eV per atom.